Compound: Ca2CdCS
Source: Alexandria
Functional: meta-GGA SCAN
Structure: single point on PBEsol structure

Properties
The density of states at the Fermi level is 2.1 states/eV per cell. The total moment comes out at 0.46 Bohr magnetons per cell. The calculation puts the electronic total energy at -13.407 eV per atom.

```
data_Ca2CdCS
_chemical_formula_sum 'Ca2 Cd1 C1 S1'
_space_group_name_H-M_alt 'P 1'
_space_group_IT_number 1
_cell_length_a 4.831
_cell_length_b 5.126
_cell_length_c 5.126
_cell_angle_alpha 90.00
_cell_angle_beta 90.00
_cell_angle_gamma 90.00
loop_
_space_group_symop_operation_xyz
'x,y,z'
loop_
_atom_site_label
_atom_site_type_symbol
_atom_site_fract_x
_atom_site_fract_y
_atom_site_fract_z
Cd1 Cd 0.500 0.000 0.000
Ca1 Ca 0.000 0.000 0.500
Ca2 Ca 0.000 0.500 0.000
C1 C 0.500 0.500 0.500
S1 S 0.000 0.000 0.000
```

Compound: CaC2Cl
Source: Alexandria
Functional: meta-GGA SCAN
Structure: single point on PBEsol structure

Properties
The density of states at the Fermi level is 3.7 states/eV per cell. The total moment comes out at 0.00 Bohr magnetons per cell. The calculation puts the electronic total energy at -7.534 eV per atom.

```
data_CaC2Cl
_chemical_formula_sum 'Ca2 C4 Cl2'
_space_group_name_H-M_alt 'P 1'
_space_group_IT_number 1
_cell_length_a 5.252
_cell_length_b 5.252
_cell_length_c 5.252
_cell_angle_alpha 103.95
_cell_angle_beta 112.30
_cell_angle_gamma 112.30
loop_
_space_group_symop_operation_xyz
'x,y,z'
loop_
_atom_site_label
_atom_site_type_symbol
_atom_site_fract_x
_atom_site_fract_y
_atom_site_fract_z
Cl1 Cl 0.000 0.500 0.500
Cl2 Cl 0.500 0.250 0.750
C1 C 0.589 0.375 0.464
C2 C 0.911 0.536 0.125
C3 C 0.089 0.214 0.625
C4 C 0.411 0.875 0.786
Ca1 Ca 0.500 0.750 0.250
Ca2 Ca 0.000 0.000 0.000
```

Compound: Ca3C3Cl2
Source: Alexandria
Functional: meta-GGA SCAN
Structure: single point on PBEsol structure

Properties
The density of states at the Fermi level is 0.0 states/eV per cell. The total moment comes out at 0.00 Bohr magnetons per cell. The calculation puts the electronic total energy at -10.606 eV per atom.

```
data_Ca3C3Cl2
_chemical_formula_sum 'Ca6 C6 Cl4'
_space_group_name_H-M_alt 'P 1'
_space_group_IT_number 1
_cell_length_a 3.799
_cell_length_b 6.910
_cell_length_c 11.447
_cell_angle_alpha 90.00
_cell_angle_beta 90.00
_cell_angle_gamma 105.95
loop_
_space_group_symop_operation_xyz
'x,y,z'
loop_
_atom_site_label
_atom_site_type_symbol
_atom_site_fract_x
_atom_site_fract_y
_atom_site_fract_z
Ca1 Ca 0.656 0.312 0.939
Ca2 Ca 0.122 0.243 0.250
Ca3 Ca 0.878 0.757 0.750
Ca4 Ca 0.656 0.312 0.561
Ca5 Ca 0.344 0.688 0.061
Ca6 Ca 0.344 0.688 0.439
C1 C 0.733 0.466 0.134
C2 C 0.733 0.466 0.366
C3 C 0.267 0.534 0.866
C4 C 0.267 0.534 0.634
C5 C 0.744 0.487 0.250
C6 C 0.256 0.513 0.750
Cl1 Cl 0.471 0.943 0.250
Cl2 Cl 0.000 0.000 0.000
Cl3 Cl 0.000 0.000 0.500
Cl4 Cl 0.529 0.057 0.750
```

Compound: CaH16C4N8Cl2O4
Source: Alexandria
Functional: meta-GGA SCAN
Structure: single point on PBEsol structure

Properties
The density of states at the Fermi level is 0.0 states/eV per cell. The total moment comes out at 0.00 Bohr magnetons per cell. The calculation puts the electronic total energy at -7.074 eV per atom.

```
data_CaH16C4N8Cl2O4
_chemical_formula_sum 'Ca2 H32 C8 N16 Cl4 O8'
_space_group_name_H-M_alt 'P 1'
_space_group_IT_number 1
_cell_length_a 7.608
_cell_length_b 8.096
_cell_length_c 12.531
_cell_angle_alpha 90.00
_cell_angle_beta 90.00
_cell_angle_gamma 114.35
loop_
_space_group_symop_operation_xyz
'x,y,z'
loop_
_atom_site_label
_atom_site_type_symbol
_atom_site_fract_x
_atom_site_fract_y
_atom_site_fract_z
N1 N 0.136 0.449 0.651
N2 N 0.439 0.868 0.684
N3 N 0.561 0.132 0.316
N4 N 0.966 0.298 0.800
N5 N 0.034 0.702 0.200
N6 N 0.843 0.790 0.990
N7 N 0.364 0.551 0.151
N8 N 0.939 0.868 0.816
N9 N 0.657 0.210 0.490
N10 N 0.343 0.790 0.510
N11 N 0.864 0.551 0.349
N12 N 0.534 0.702 0.300
N13 N 0.636 0.449 0.849
N14 N 0.466 0.298 0.700
N15 N 0.061 0.132 0.184
N16 N 0.157 0.210 0.010
H1 H 0.976 0.584 0.156
H2 H 0.814 0.561 0.424
H3 H 0.476 0.584 0.344
H4 H 0.048 0.827 0.827
H5 H 0.768 0.802 0.055
H6 H 0.207 0.564 0.694
H7 H 0.686 0.439 0.924
H8 H 0.442 0.735 0.504
H9 H 0.058 0.055 0.250
H10 H 0.186 0.439 0.576
H11 H 0.558 0.265 0.496
H12 H 0.268 0.802 0.445
H13 H 0.865 0.180 0.833
H14 H 0.793 0.436 0.306
H15 H 0.452 0.173 0.327
H16 H 0.314 0.561 0.076
H17 H 0.635 0.820 0.333
H18 H 0.232 0.198 0.945
H19 H 0.058 0.265 0.004
H20 H 0.952 0.173 0.173
H21 H 0.135 0.820 0.167
H22 H 0.942 0.945 0.750
H23 H 0.442 0.945 0.750
H24 H 0.548 0.827 0.673
H25 H 0.024 0.416 0.844
H26 H 0.365 0.180 0.667
H27 H 0.707 0.564 0.806
H28 H 0.942 0.735 0.996
H29 H 0.293 0.436 0.194
H30 H 0.524 0.416 0.656
H31 H 0.558 0.055 0.250
H32 H 0.732 0.198 0.555
O1 O 0.723 0.960 0.893
O2 O 0.223 0.960 0.607
O3 O 0.438 0.147 0.857
O4 O 0.562 0.853 0.143
O5 O 0.938 0.147 0.643
O6 O 0.277 0.040 0.107
O7 O 0.777 0.040 0.393
O8 O 0.062 0.853 0.357
C1 C 0.333 0.877 0.599
C2 C 0.513 0.295 0.803
C3 C 0.667 0.123 0.401
C4 C 0.987 0.705 0.303
C5 C 0.487 0.705 0.197
C6 C 0.833 0.877 0.901
C7 C 0.013 0.295 0.697
C8 C 0.167 0.123 0.099
Cl1 Cl 0.705 0.683 0.569
Cl2 Cl 0.295 0.317 0.431
Cl3 Cl 0.205 0.683 0.931
Cl4 Cl 0.795 0.317 0.069
Ca1 Ca 0.000 0.000 0.500
Ca2 Ca 0.500 0.000 0.000
```

Compound: CaPCCl2
Source: Alexandria
Functional: meta-GGA SCAN
Structure: single point on PBEsol structure

Properties
The density of states at the Fermi level is 2.3 states/eV per cell. The total moment comes out at 0.00 Bohr magnetons per cell. The calculation puts the electronic total energy at -9.178 eV per atom.

```
data_CaPCCl2
_chemical_formula_sum 'Ca1 P1 C1 Cl2'
_space_group_name_H-M_alt 'P 1'
_space_group_IT_number 1
_cell_length_a 3.644
_cell_length_b 5.082
_cell_length_c 5.082
_cell_angle_alpha 90.00
_cell_angle_beta 90.00
_cell_angle_gamma 90.00
loop_
_space_group_symop_operation_xyz
'x,y,z'
loop_
_atom_site_label
_atom_site_type_symbol
_atom_site_fract_x
_atom_site_fract_y
_atom_site_fract_z
C1 C 0.000 0.000 0.000
Ca1 Ca 0.500 0.500 0.500
P1 P 0.500 0.000 0.000
Cl1 Cl 0.000 0.000 0.500
Cl2 Cl 0.000 0.500 0.000
```

Compound: CaCSCl2
Source: Alexandria
Functional: meta-GGA SCAN
Structure: single point on PBEsol structure

Properties
The density of states at the Fermi level is 0.6 states/eV per cell. The total moment comes out at 0.00 Bohr magnetons per cell. The calculation puts the electronic total energy at -9.229 eV per atom.

```
data_CaCSCl2
_chemical_formula_sum 'Ca1 C1 S1 Cl2'
_space_group_name_H-M_alt 'P 1'
_space_group_IT_number 1
_cell_length_a 4.173
_cell_length_b 4.540
_cell_length_c 4.540
_cell_angle_alpha 90.00
_cell_angle_beta 90.00
_cell_angle_gamma 90.00
loop_
_space_group_symop_operation_xyz
'x,y,z'
loop_
_atom_site_label
_atom_site_type_symbol
_atom_site_fract_x
_atom_site_fract_y
_atom_site_fract_z
C1 C 0.000 0.000 0.000
S1 S 0.500 0.000 0.000
Cl1 Cl 0.000 0.000 0.500
Cl2 Cl 0.000 0.500 0.000
Ca1 Ca 0.500 0.500 0.500
```

Compound: CaTlC2Cl
Source: Alexandria
Functional: meta-GGA SCAN
Structure: single point on PBEsol structure

Properties
The density of states at the Fermi level is 2.4 states/eV per cell. The total moment comes out at 1.51 Bohr magnetons per cell. The calculation puts the electronic total energy at -19.946 eV per atom.

```
data_CaTlC2Cl
_chemical_formula_sum 'Ca1 Tl1 C2 Cl1'
_space_group_name_H-M_alt 'P 1'
_space_group_IT_number 1
_cell_length_a 4.389
_cell_length_b 4.389
_cell_length_c 5.179
_cell_angle_alpha 90.00
_cell_angle_beta 90.00
_cell_angle_gamma 90.00
loop_
_space_group_symop_operation_xyz
'x,y,z'
loop_
_atom_site_label
_atom_site_type_symbol
_atom_site_fract_x
_atom_site_fract_y
_atom_site_fract_z
Cl1 Cl 0.000 0.000 0.000
Tl1 Tl 0.000 0.000 0.500
C1 C 0.500 0.000 0.000
C2 C 0.000 0.500 0.000
Ca1 Ca 0.500 0.500 0.500
```

Compound: Ca2CoC
Source: Alexandria
Functional: meta-GGA SCAN
Structure: single point on PBEsol structure

Properties
The density of states at the Fermi level is 5.4 states/eV per cell. The total moment comes out at 0.00 Bohr magnetons per cell. The calculation puts the electronic total energy at -11.676 eV per atom.

```
data_Ca2CoC
_chemical_formula_sum 'Ca4 Co2 C2'
_space_group_name_H-M_alt 'P 1'
_space_group_IT_number 1
_cell_length_a 3.582
_cell_length_b 7.135
_cell_length_c 7.135
_cell_angle_alpha 86.39
_cell_angle_beta 75.46
_cell_angle_gamma 75.46
loop_
_space_group_symop_operation_xyz
'x,y,z'
loop_
_atom_site_label
_atom_site_type_symbol
_atom_site_fract_x
_atom_site_fract_y
_atom_site_fract_z
Co1 Co 0.000 0.000 0.000
Co2 Co 0.750 0.500 0.500
C1 C 0.250 0.500 0.500
C2 C 0.500 0.000 0.000
Ca1 Ca 0.322 0.803 0.303
Ca2 Ca 0.875 0.697 0.803
Ca3 Ca 0.375 0.303 0.197
Ca4 Ca 0.428 0.197 0.697
```

Compound: CaCr3C
Source: Alexandria
Functional: meta-GGA SCAN
Structure: single point on PBEsol structure

Properties
The density of states at the Fermi level is 4.2 states/eV per cell. The total moment comes out at 13.58 Bohr magnetons per cell. The calculation puts the electronic total energy at -11.864 eV per atom.

```
data_CaCr3C
_chemical_formula_sum 'Ca1 Cr3 C1'
_space_group_name_H-M_alt 'P 1'
_space_group_IT_number 1
_cell_length_a 4.881
_cell_length_b 4.881
_cell_length_c 4.881
_cell_angle_alpha 90.00
_cell_angle_beta 90.00
_cell_angle_gamma 90.00
loop_
_space_group_symop_operation_xyz
'x,y,z'
loop_
_atom_site_label
_atom_site_type_symbol
_atom_site_fract_x
_atom_site_fract_y
_atom_site_fract_z
Cr1 Cr 0.500 0.000 0.000
Cr2 Cr 0.000 0.500 0.000
Cr3 Cr 0.000 0.000 0.500
Ca1 Ca 0.000 0.000 0.000
C1 C 0.500 0.500 0.500
```